Crystalline BaPuZnSe4 at its relaxed geometry. Source: the Alexandria database, functional PBE.

abc: 7.304 5.981 9.136
angles: 90.00 106.68 90.00
Fractional positions:
Ba (0.240, 0.250, 0.439)
Ba (0.760, 0.750, 0.561)
Pu (0.237, 0.250, 0.941)
Pu (0.763, 0.750, 0.059)
Zn (0.241, 0.750, 0.177)
Zn (0.759, 0.250, 0.823)
Se (0.060, 0.750, 0.360)
Se (0.074, 0.750, 0.908)
Se (0.484, 0.513, 0.776)
Se (0.484, 0.987, 0.776)
Se (0.516, 0.013, 0.224)
Se (0.516, 0.487, 0.224)
Se (0.926, 0.250, 0.092)
Se (0.940, 0.250, 0.640)

- formation energy from raw total energies (eV per atom) = -1.262

***

Crystalline CrGaSnW2 at its relaxed geometry. Source: the Alexandria database, functional PBE.

abc: 4.632 4.632 4.400
angles: 90.00 90.00 90.00
Fractional positions:
Cr (0.000, 0.000, 0.000)
Ga (0.000, 0.000, 0.500)
Sn (0.500, 0.500, 0.000)
W (0.000, 0.500, 0.500)
W (0.500, 0.000, 0.500)

- formation energy from the elements (meV per atom) = 1572

***

Crystalline TiCo2H2 at its relaxed geometry. Source: the Alexandria database, functional PBE.

abc: 5.533 5.533 2.864
angles: 90.00 90.00 90.00
Fractional positions:
Ti (0.000, 0.000, 0.000)
Ti (0.500, 0.500, 0.000)
Co (0.151, 0.349, 0.500)
Co (0.349, 0.849, 0.500)
Co (0.651, 0.151, 0.500)
Co (0.849, 0.651, 0.500)
H (0.243, 0.743, 0.000)
H (0.257, 0.243, 0.000)
H (0.743, 0.757, 0.000)
H (0.757, 0.257, 0.000)

- DFT total energy (eV/atom) = -5.80

***

Crystalline CdTcAs2 at its relaxed geometry. Source: the Alexandria database, functional PBE.

abc: 6.348 6.348 6.348
angles: 152.77 134.56 53.78
Fractional positions:
Cd (0.000, 0.000, 0.000)
Tc (0.500, 0.500, 0.000)
As (0.322, 0.822, 0.500)
As (0.678, 0.178, 0.500)

- formation energy from the elements (meV per atom) = 141

***

Crystalline Tb2Pm7Nd2 at its relaxed geometry. Source: the Alexandria database, functional PBE.

abc: 7.746 7.746 7.031
angles: 98.10 98.10 109.46
Fractional positions:
Tb (0.122, 0.878, 0.000)
Tb (0.878, 0.122, 0.000)
Pm (0.000, 0.000, 0.500)
Pm (0.091, 0.585, 0.291)
Pm (0.323, 0.323, 0.883)
Pm (0.415, 0.909, 0.709)
Pm (0.585, 0.091, 0.291)
Pm (0.677, 0.677, 0.117)
Pm (0.909, 0.415, 0.709)
Nd (0.323, 0.323, 0.388)
Nd (0.677, 0.677, 0.612)

- formation energy from the elements (meV per atom) = 291

***

Crystalline PbAuOF2 at its relaxed geometry. Source: the Alexandria database, functional PBE.

abc: 4.565 4.565 4.294
angles: 90.00 90.00 90.00
Fractional positions:
Pb (0.000, 0.000, 0.000)
Au (0.500, 0.500, 0.500)
O (0.000, 0.000, 0.500)
F (0.000, 0.500, 0.000)
F (0.500, 0.000, 0.000)

- formation energy from raw total energies (eV per atom) = -0.811